DFT (PBE-GGA) results for crystalline SrGeSb2Pd5 at its relaxed geometry.

Cell: 4.776 6.038 7.838 Å, 112.66 107.74 90.00°
Fractional positions:
Sb: 0.803 0.803 0.607
Sb: 0.197 0.197 0.393
Pd: 0.350 0.612 0.701
Pd: 0.650 0.388 0.299
Pd: 0.350 0.089 0.701
Pd: 0.650 0.911 0.299
Pd: 0.000 0.000 0.000
Ge: 0.500 0.000 0.000
Sr: 0.000 0.500 0.000

Computed properties:
space group: Immm (71)
DFT total energy: -4.92 eV/atom
V: 197 Å³/f.u.
E_form (uncorrected): -417 meV/atom



DFT (PBE-GGA) results for crystalline Sr2GeSb3Pd4 at its relaxed geometry.

Cell: 4.618 4.618 10.774 Å, 90.00 90.00 90.00°
Fractional positions:
Ge: 0.500 0.500 0.500
Sr: 0.000 0.500 0.751
Sr: 0.500 0.000 0.249
Pd: 0.000 0.500 0.377
Pd: 0.000 0.000 0.000
Pd: 0.500 0.000 0.623
Pd: 0.500 0.500 0.000
Sb: 0.000 0.500 0.131
Sb: 0.000 0.000 0.500
Sb: 0.500 0.000 0.869

Computed properties:
space group: P-4m2 (115)
DFT total energy: -4.87 eV/atom
V: 230 Å³/f.u.
E_form (uncorrected): -759 meV/atom